Entry 1:
! PBE-GGA Nd2Y5Sc, optimized geometry; values from VASP
! crystal system	triclinic
! V	32.23	A^3/atom
! energy relative to the elements	0.064	eV/atom
&SYSTEM
  ibrav = 0, nat = 16, ntyp = 3
/
ATOMIC_SPECIES
Nd 144.24 Nd.upf
Y 88.91 Y.upf
Sc 44.96 Sc.upf
CELL_PARAMETERS angstrom
6.0914 0.0000 0.0000
0.9192 8.7438 0.0000
0.4673 0.8290 9.6822
ATOMIC_POSITIONS crystal
Nd 0.0000 0.0000 0.0000
Nd 0.0796 0.2637 0.2554
Nd 0.4378 0.5739 0.2860
Nd 0.5266 0.0640 0.8170
Y 0.0412 0.1100 0.6348
Y 0.0891 0.4976 0.5299
Y 0.1172 0.3772 0.8835
Y 0.4122 0.6894 0.9320
Y 0.4444 0.8030 0.5643
Y 0.4836 0.9574 0.1837
Y 0.5588 0.1980 0.4473
Y 0.6214 0.4371 0.7045
Y 0.9053 0.6293 0.1133
Y 0.9605 0.8676 0.3749
Sc 0.6055 0.3180 0.0595
Sc 0.9225 0.7487 0.7550

=====

Entry 2:
! PBE-GGA TlHgTeSe3, optimized geometry; values from VASP
! raw formation energy	-120	meV per atom
! crystal system	monoclinic
! V	32.99	A^3/atom
&SYSTEM
  ibrav = 0, nat = 12, ntyp = 4
/
ATOMIC_SPECIES
Tl 204.38 Tl.upf
Hg 200.59 Hg.upf
Te 127.60 Te.upf
Se 78.96 Se.upf
CELL_PARAMETERS angstrom
9.3999 0.0000 0.0000
0.0000 4.0822 0.0000
-0.8022 0.0000 10.3157
ATOMIC_POSITIONS crystal
Tl 0.1425 0.2500 0.2098
Tl 0.8575 0.7500 0.7902
Hg 0.1170 0.2500 0.5992
Hg 0.8830 0.7500 0.4008
Te 0.3816 0.7500 0.8472
Te 0.6184 0.2500 0.1528
Se 0.1671 0.2500 0.8570
Se 0.1915 0.7500 0.4465
Se 0.4205 0.7500 0.1492
Se 0.5795 0.2500 0.8508
Se 0.8085 0.2500 0.5535
Se 0.8329 0.7500 0.1430

=====

Entry 3:
! PBE-GGA FeNiH3Pd, optimized geometry; values from VASP
! E_tot	-4.843	eV/atom
! crystal system	monoclinic
! V	7.76	A^3/atom
&SYSTEM
  ibrav = 0, nat = 12, ntyp = 4
/
ATOMIC_SPECIES
Fe 55.84 Fe.upf
Ni 58.69 Ni.upf
H 1.01 H.upf
Pd 106.42 Pd.upf
CELL_PARAMETERS angstrom
5.5065 0.0000 0.0000
0.0000 2.7294 0.0000
-1.2792 0.0000 6.1945
ATOMIC_POSITIONS crystal
Fe 0.0923 0.2500 0.3600
Fe 0.9077 0.7500 0.6400
Ni 0.1851 0.2500 0.9555
Ni 0.8149 0.7500 0.0445
H 0.1326 0.7500 0.0936
H 0.1362 0.2500 0.6650
H 0.3243 0.7500 0.3850
H 0.6757 0.2500 0.6150
H 0.8638 0.7500 0.3350
H 0.8674 0.2500 0.9064
Pd 0.4345 0.7500 0.6962
Pd 0.5655 0.2500 0.3038

=====

Entry 4:
! PBE-GGA PmBeSi, optimized geometry; values from VASP
! raw formation energy	-416	meV per atom
! crystal system	monoclinic
! V	18.53	A^3/atom
&SYSTEM
  ibrav = 0, nat = 12, ntyp = 3
/
ATOMIC_SPECIES
Pm 145.00 Pm.upf
Be 9.01 Be.upf
Si 28.09 Si.upf
CELL_PARAMETERS angstrom
5.7158 0.0000 0.0000
0.0000 5.6164 0.0000
-2.7594 0.0000 6.9263
ATOMIC_POSITIONS crystal
Pm 0.1884 0.1321 0.3708
Pm 0.1884 0.3679 0.8708
Pm 0.8116 0.6321 0.1292
Pm 0.8116 0.8679 0.6292
Be 0.4080 0.6150 0.2920
Be 0.4080 0.8850 0.7920
Be 0.5920 0.1150 0.2080
Be 0.5920 0.3850 0.7080
Si 0.2613 0.6417 0.5338
Si 0.2613 0.8583 0.0338
Si 0.7387 0.1417 0.9662
Si 0.7387 0.3583 0.4662

=====

no.,mass density (g cm⁻³)
1,5.01
2,6.46
3,7.99
4,5.44